{"formula": "TePbSe2", "functional": "PBE-GGA", "state": "optimized geometry", "cell": [[-3.554, 0.263, -2.331], [-1.001, -3.123, -2.717], [-5.282, -4.401, 3.666]], "species": ["Se", "Se", "Te", "Pb"], "frac_coords": [[0.257, 0.257, 0.230], [0.079, 0.079, 0.763], [0.667, 0.667, 0.999], [0.498, 0.498, 0.507]]}

{"formula": "TePbSe2", "functional": "PBE-GGA", "state": "optimized geometry", "cell": [[4.229, -0.041, 0.000], [-2.171, 3.629, 0.000], [0.000, 0.000, 8.069]], "species": ["Se", "Se", "Pb", "Te"], "frac_coords": [[0.000, 0.000, 0.489], [0.000, 0.000, 0.011], [0.500, 0.500, 0.750], [0.500, 0.500, 0.250]]}

Number 1: electronic total energy -3.472 eV per atom. Number 2: electronic total energy -3.464 eV per atom.